AgPbO6 | the Open Quantum Materials Database | PBE | relaxed; symmetry = F-43m (216); raw total energy = -0.2702 Ry per atom
1.0
-4.907 -1.019 1.483
-3.731 -0.673 -3.597
-2.038 -4.746 -0.794
Ag O Pb
1 6 1
direct
0.250 0.250 0.250 Ag
0.980 0.520 0.520 O
0.520 0.980 0.520 O
0.980 0.980 0.520 O
0.980 0.520 0.980 O
0.520 0.980 0.980 O
0.520 0.520 0.980 O
0.000 0.000 0.000 Pb